Density functional theory data (PBE-GGA) for a relaxed structure of AlCd2Se.

Unit cell a=6.636 b=6.636 c=6.636 alpha=145.33 beta=145.33 gamma=49.84
Positions (direct):
Al 0.000 0.000 0.000
Cd 0.250 0.750 0.500
Cd 0.750 0.250 0.500
Se 0.500 0.500 0.000

Computed properties:
**E_form (uncorrected)**: 0.168 eV/f.u.
**Distance to the lowest polymorph of the same formula**: 249.2 meV per atom
**Total DFT energy (no corrections)**: -8.889 eV for the cell shown
**SG**: I4/mmm


Density functional theory data (PBE-GGA) for a relaxed structure of AgPb2Cl5.

Unit cell a=7.456 b=7.456 c=13.964 alpha=90.00 beta=90.00 gamma=135.03
Positions (direct):
Ag 0.202 0.798 0.750
Ag 0.798 0.202 0.250
Pb 0.142 0.858 0.066
Pb 0.142 0.858 0.434
Pb 0.858 0.142 0.566
Pb 0.858 0.142 0.934
Cl 0.053 0.947 0.621
Cl 0.053 0.947 0.879
Cl 0.244 0.756 0.250
Cl 0.314 0.686 0.577
Cl 0.314 0.686 0.923
Cl 0.686 0.314 0.077
Cl 0.686 0.314 0.423
Cl 0.756 0.244 0.750
Cl 0.947 0.053 0.121
Cl 0.947 0.053 0.379

Computed properties:
**E_form (uncorrected)**: -7.592 eV/f.u.
**Distance to the lowest polymorph of the same formula**: 9.1 meV per atom
**Total DFT energy (no corrections)**: -54.185 eV for the cell shown
**SG**: Cmcm


Density functional theory data (PBE-GGA) for a relaxed structure of CePmPuHg.

Unit cell a=5.313 b=5.313 c=5.313 alpha=60.00 beta=60.00 gamma=60.00
Positions (direct):
Ce 0.000 0.000 0.000
Pm 0.750 0.750 0.750
Pu 0.250 0.250 0.250
Hg 0.500 0.500 0.500

Computed properties:
**ΔH_f (0 K)**: -0.0059 eV/atom
**Total DFT energy (no corrections)**: -25.342 eV for the cell shown
**SG**: F-43m


Density functional theory data (PBE-GGA) for a relaxed structure of Zr3Co8Tc.

Unit cell a=8.409 b=8.409 c=8.409 alpha=33.48 beta=33.48 gamma=33.48
Positions (direct):
Zr 0.000 0.000 0.000
Zr 0.130 0.130 0.130
Zr 0.616 0.616 0.616
Co 0.060 0.060 0.562
Co 0.060 0.562 0.060
Co 0.064 0.562 0.562
Co 0.311 0.311 0.311
Co 0.562 0.060 0.060
Co 0.562 0.064 0.562
Co 0.562 0.562 0.064
Co 0.812 0.812 0.812
Tc 0.495 0.495 0.495

Computed properties:
**ΔH_f (0 K)**: -0.2081 eV/atom
**Total DFT energy (no corrections)**: -95.354 eV for the cell shown
**SG**: R3m


Density functional theory data (PBE-GGA) for a relaxed structure of ScTc2W.

Unit cell a=3.148 b=3.148 c=6.575 alpha=90.00 beta=90.00 gamma=90.00
Positions (direct):
Sc 0.000 0.000 0.000
Tc 0.000 0.000 0.495
Tc 0.500 0.500 0.263
W 0.500 0.500 0.723

Computed properties:
**Distance to the lowest polymorph of the same formula**: 287.1 meV per atom
**ΔH_f (0 K)**: 0.0629 eV/atom
**Total DFT energy (no corrections)**: -39.765 eV for the cell shown
**SG**: P4mm


Density functional theory data (PBE-GGA) for a relaxed structure of MnSbTeRh2.

Unit cell a=4.879 b=4.879 c=4.850 alpha=90.00 beta=90.00 gamma=90.00
Positions (direct):
Mn 0.000 0.000 0.000
Sb 0.500 0.500 0.000
Te 0.000 0.000 0.500
Rh 0.000 0.500 0.500
Rh 0.500 0.000 0.500

Computed properties:
**E_form (uncorrected)**: 3.368 eV/f.u.
**Total DFT energy (no corrections)**: -27.768 eV for the cell shown
**SG**: P4/mmm


Ordered magnetization results: 0.000 0.000 2.024 0.579 0.000 0.674; unit μB/atom.
Ordered density of states at the Fermi level results: 0.34 0.00 2.12 1.49 0.93 0.99; unit states/eV per atom.